# PBE-GGA Ba2Cd2In, relaxed
# Formation enthalpy at 0 K ... -0.34 eV per atom
# Fermi-level density of states ... 4.605 states/eV/f.u.
# Excess energy over the best structure of this formula in the dataset ... 15 meV per atom
# SG ... Immm, No. 71
data_Ba2Cd2In
_space_group_name_H-M_alt 'P 1'
_space_group_IT_number 1
_cell_length_a 5.0882
_cell_length_b 6.7577
_cell_length_c 6.7575
_cell_angle_alpha 58.52
_cell_angle_beta 67.88
_cell_angle_gamma 67.88
loop_
_space_group_symop_operation_xyz
'x,y,z'
loop_
_atom_site_label
_atom_site_type_symbol
_atom_site_fract_x
_atom_site_fract_y
_atom_site_fract_z
Ba1 Ba 0.3066 0.1934 0.6934
Cd1 Cd 0.0000 0.7583 0.7417
Ba2 Ba 0.6934 0.8066 0.3066
Cd2 Cd 0.0000 0.2417 0.2583
In1 In 0.5000 0.5000 0.0000


# PBE-GGA VZnNi6, relaxed
# Formation enthalpy at 0 K ... 0.11 eV per atom
# Fermi-level density of states ... 9.263 states/eV/f.u.
# Excess energy over the best structure of this formula in the dataset ... 336 meV per atom
# SG ... C2/m, No. 12
data_VZnNi6
_space_group_name_H-M_alt 'P 1'
_space_group_IT_number 1
_cell_length_a 4.2595
_cell_length_b 4.2595
_cell_length_c 6.3820
_cell_angle_alpha 75.01
_cell_angle_beta 75.01
_cell_angle_gamma 68.09
loop_
_space_group_symop_operation_xyz
'x,y,z'
loop_
_atom_site_label
_atom_site_type_symbol
_atom_site_fract_x
_atom_site_fract_y
_atom_site_fract_z
Ni1 Ni 0.6363 0.6363 0.0713
V1 V 0.0000 0.0000 0.0000
Ni2 Ni 0.4602 0.9403 0.7039
Ni3 Ni 0.5398 0.0597 0.2961
Ni4 Ni 0.0597 0.5398 0.2961
Ni5 Ni 0.3637 0.3637 0.9287
Zn1 Zn 0.5000 0.5000 0.5000
Ni6 Ni 0.9403 0.4602 0.7039


# PBE-GGA Cs2KSbPd, relaxed
# Formation energy from raw total energies ... -16.0 kJ per mole of atoms
# Fermi-level density of states ... 4.044 states/eV/f.u.
# SG ... P4/mmm, No. 123
data_Cs2KSbPd
_space_group_name_H-M_alt 'P 1'
_space_group_IT_number 1
_cell_length_a 6.8429
_cell_length_b 6.8429
_cell_length_c 5.1960
_cell_angle_alpha 90.00
_cell_angle_beta 90.00
_cell_angle_gamma 90.00
loop_
_space_group_symop_operation_xyz
'x,y,z'
loop_
_atom_site_label
_atom_site_type_symbol
_atom_site_fract_x
_atom_site_fract_y
_atom_site_fract_z
Cs1 Cs 0.5000 0.0000 0.0000
Cs2 Cs 0.0000 0.5000 0.0000
K1 K 0.5000 0.5000 0.5000
Pd1 Pd 0.0000 0.0000 0.0000
Sb1 Sb 0.0000 0.0000 0.5000


# PBE-GGA MgAgO2F, relaxed
# Formation energy from raw total energies ... -101.4 kJ per mole of atoms
# Fermi-level density of states ... 3.867 states/eV/f.u.
# SG ... P4/mmm, No. 123
data_MgAgO2F
_space_group_name_H-M_alt 'P 1'
_space_group_IT_number 1
_cell_length_a 4.0217
_cell_length_b 4.0217
_cell_length_c 3.8008
_cell_angle_alpha 90.00
_cell_angle_beta 90.00
_cell_angle_gamma 90.00
loop_
_space_group_symop_operation_xyz
'x,y,z'
loop_
_atom_site_label
_atom_site_type_symbol
_atom_site_fract_x
_atom_site_fract_y
_atom_site_fract_z
F1 F 0.0000 0.0000 0.5000
Ag1 Ag 0.5000 0.5000 0.5000
O1 O 0.0000 0.5000 0.0000
Mg1 Mg 0.0000 0.0000 0.0000
O2 O 0.5000 0.0000 0.0000


# PBE-GGA GaTe4Mo4Se4, relaxed
# Formation energy from raw total energies ... -44.6 kJ per mole of atoms
# Fermi-level density of states ... 15.011 states/eV/f.u.
# SG ... F-43m, No. 216
data_GaTe4Mo4Se4
_space_group_name_H-M_alt 'P 1'
_space_group_IT_number 1
_cell_length_a 7.6179
_cell_length_b 7.6179
_cell_length_c 7.6179
_cell_angle_alpha 60.00
_cell_angle_beta 60.00
_cell_angle_gamma 60.00
loop_
_space_group_symop_operation_xyz
'x,y,z'
loop_
_atom_site_label
_atom_site_type_symbol
_atom_site_fract_x
_atom_site_fract_y
_atom_site_fract_z
Te1 Te 0.1383 0.1383 0.5850
Te2 Te 0.1383 0.1383 0.1383
Se1 Se 0.6309 0.6309 0.6309
Se2 Se 0.1074 0.6309 0.6309
Te3 Te 0.1383 0.5850 0.1383
Mo1 Mo 0.4043 0.7872 0.4043
Se3 Se 0.6309 0.6309 0.1074
Mo2 Mo 0.4043 0.4043 0.7872
Mo3 Mo 0.4043 0.4043 0.4043
Se4 Se 0.6309 0.1074 0.6309
Mo4 Mo 0.7872 0.4043 0.4043
Ga1 Ga 0.0000 0.0000 0.0000
Te4 Te 0.5850 0.1383 0.1383


# PBE-GGA CaCu4Sn12, relaxed
# Formation enthalpy at 0 K ... -0.04 eV per atom
# Fermi-level density of states ... 12.483 states/eV/f.u.
# SG ... Im-3, No. 204
data_CaCu4Sn12
_space_group_name_H-M_alt 'P 1'
_space_group_IT_number 1
_cell_length_a 8.1752
_cell_length_b 8.1752
_cell_length_c 8.1752
_cell_angle_alpha 109.47
_cell_angle_beta 109.47
_cell_angle_gamma 109.47
loop_
_space_group_symop_operation_xyz
'x,y,z'
loop_
_atom_site_label
_atom_site_type_symbol
_atom_site_fract_x
_atom_site_fract_y
_atom_site_fract_z
Sn1 Sn 0.3400 0.5016 0.1616
Cu1 Cu 0.5000 0.5000 0.5000
Sn2 Sn 0.3400 0.1785 0.8384
Cu2 Cu 0.0000 0.0000 0.5000
Cu3 Cu 0.5000 0.0000 0.0000
Sn3 Sn 0.1785 0.8384 0.3400
Cu4 Cu 0.0000 0.5000 0.0000
Sn4 Sn 0.4984 0.8384 0.6600
Sn5 Sn 0.1616 0.3400 0.5016
Sn6 Sn 0.6600 0.4984 0.8384
Sn7 Sn 0.5016 0.1616 0.3400
Sn8 Sn 0.6600 0.8215 0.1616
Ca1 Ca 0.0000 0.0000 0.0000
Sn9 Sn 0.8215 0.1616 0.6600
Sn10 Sn 0.8384 0.6600 0.4984
Sn11 Sn 0.1616 0.6600 0.8215
Sn12 Sn 0.8384 0.3400 0.1785